Record 1
Here is an optimized crystal structure of Mg2AlNi from Alexandria via LeMat-Bulk. Energies are from PBE.

Cell: 9.0641 9.0641 9.0641 Å, 18.81 18.81 18.81°
Last column: nearest neighbours and their distance in Å.
Positions (direct):
Al1 0.7500 0.7500 0.7500  6 Al 2.96, 6 Mg 2.98
Mg1 0.9918 0.9918 0.9918  3 Ni 2.64
Mg2 0.5082 0.5082 0.5082  3 Ni 2.64
Ni1 0.2500 0.2500 0.2500  6 Mg 2.64

Computed properties:
density = 3.3 g cm⁻³
E = -12.638 eV per cell
magnetization = 0.001 μB per formula unit
space group = R-3m

---

Record 2
Here is an optimized crystal structure of MgAl2Ni4 from Alexandria via LeMat-Bulk. Energies are from PBE.

Cell: 4.9677 4.9677 4.9677 Å, 112.91 107.78 107.78°
Last column: nearest neighbours and their distance in Å.
Positions (direct):
Mg1 0.0000 0.0000 0.0000  8 Ni 2.48
Al1 0.5000 0.5000 0.0000  8 Ni 2.48, 2 Al 2.75
Al2 0.5000 0.0000 0.5000  8 Ni 2.48, 2 Al 2.75
Ni1 0.5000 0.0000 0.0000  2 Mg 2.48, 4 Al 2.48, 2 Ni 2.75
Ni2 0.5000 0.5000 0.5000  2 Mg 2.48, 4 Al 2.48, 2 Ni 2.75
Ni3 0.0000 0.0000 0.5000  4 Al 2.48, 2 Mg 2.48, 2 Ni 2.75
Ni4 0.0000 0.5000 0.0000  4 Al 2.48, 2 Mg 2.48, 2 Ni 2.75

Computed properties:
density = 5.5 g cm⁻³
E = -33.680 eV per cell
magnetization = 0.000 μB per formula unit
space group = I4/mmm

---

Record 3
Here is an optimized crystal structure of Mg2AlNi from Alexandria via LeMat-Bulk. Energies are from PBE.

Cell: 4.1897 3.0438 5.5218 Å, 73.92 90.00 90.00°
Last column: nearest neighbours and their distance in Å.
Positions (direct):
Al1 0.5000 0.5696 0.7357  2 Ni 2.42
Mg1 0.0000 0.9544 0.9652  4 Al 2.86, 3 Ni 2.87, 6 Mg 3.04-3.12
Mg2 0.5000 0.2914 0.2924  3 Al 2.80-2.95, 4 Ni 2.83, 6 Mg 3.04-3.12
Ni1 0.0000 0.6846 0.5067  2 Al 2.42

Computed properties:
density = 3.3 g cm⁻³
E = -13.223 eV per cell
magnetization = 0.000 μB per formula unit
space group = Pm